The following is a PBE calculation of crystalline HfTe2Au2 at its relaxed geometry, from OQMD.

Results
The calculated total energy is -4.663 eV per atom. The calculated volume is 118.53 Å³/f.u.

a = 8.8101 Å, b = 8.8101 Å, c = 8.8101 Å
α = 155.38°, β = 155.38°, γ = 35.09°
With the nearest neighbours (Å) after each atom.
Positions (direct):
Te1 0.5937 0.5937 0.0000  4 Hf 3.09, 1 Te 3.15, 4 Au 3.23
Hf1 0.0000 0.0000 0.0000  8 Te 3.09
Au1 0.2500 0.7500 0.5000  4 Au 2.66
Te2 0.4063 0.4063 0.0000  4 Hf 3.09, 1 Te 3.15, 4 Au 3.23
Au2 0.7500 0.2500 0.5000  4 Au 2.66